A plane-wave DFT calculation with SCAN was carried out for MoIrCl at its PBEsol-relaxed geometry.

Cell lengths 4.2011, 4.2011, 2.8493 Å; angles 90.00, 90.00, 120.00 degrees
Space group P3m1 (No. 156)
Symmetry-distinct sites (fractional):
Mo 0.0000 0.0000 0.0000 [1 per cell]
Ir 0.6667 0.3333 0.5184 [1 per cell]
Cl 0.3333 0.6667 0.0946 [1 per cell]

E_form (uncorrected): 0.57 eV per atom
Density of states at the Fermi level: 2.40 states/eV/cell